Here is a relaxed POs2 crystal from the Alexandria database. Energies are from PBE-GGA.

Computed properties:
- N(E_F): 2.1 states/eV/f.u.
- Energy relative to the elements: 0.102 eV/atom
- DFT total energy: -9.19 eV per atom
- Total magnetic moment: 0.00 μB per formula unit
- Volume: 42 Å³/f.u.

Lattice parameters (Å, degrees): 6.109 6.109 3.879 90.00 90.00 120.00
Sites, in units of the cell vectors:
Os 0.376 0.376 0.500
P 0.000 0.000 0.500
P 0.667 0.333 0.000
Os 0.726 0.726 0.000
P 0.333 0.667 0.000
Os 0.274 0.000 0.000
Os 0.000 0.274 0.000
Os 0.624 0.000 0.500
Os 0.000 0.624 0.500

***

Here is a relaxed POs2 crystal from the Alexandria database. Energies are from PBE-GGA.

Computed properties:
- N(E_F): 2.2 states/eV/f.u.
- Energy relative to the elements: 0.224 eV/atom
- DFT total energy: -9.07 eV per atom
- Total magnetic moment: 0.00 μB per formula unit
- Volume: 41 Å³/f.u.

Lattice parameters (Å, degrees): 4.068 2.907 7.007 90.00 90.00 90.00
Sites, in units of the cell vectors:
P 0.000 0.000 0.000
Os 0.000 0.748 0.332
Os 0.000 0.252 0.668
P 0.500 0.500 0.500
Os 0.500 0.248 0.168
Os 0.500 0.752 0.832

***

Here is a relaxed P3Os crystal from the Alexandria database. Energies are from PBE-GGA.

Computed properties:
- N(E_F): 2.3 states/eV/f.u.
- Energy relative to the elements: 0.557 eV/atom
- DFT total energy: -6.31 eV per atom
- Total magnetic moment: 0.00 μB per formula unit
- Volume: 54 Å³/f.u.
- Offset from the most stable computed form: 644 meV/atom

Lattice parameters (Å, degrees): 4.398 4.398 4.398 125.61 125.61 80.53
Sites, in units of the cell vectors:
P 0.750 0.250 0.500
P 0.500 0.500 0.000
Os 0.000 0.000 0.000
P 0.250 0.750 0.500

***

Here is a relaxed POs3 crystal from the Alexandria database. Energies are from PBE-GGA.

Computed properties:
- N(E_F): 6.1 states/eV/f.u.
- Energy relative to the elements: 1.100 eV/atom
- DFT total energy: -8.67 eV per atom
- Total magnetic moment: 0.00 μB per formula unit
- Volume: 58 Å³/f.u.
- Offset from the most stable computed form: 989 meV/atom

Lattice parameters (Å, degrees): 4.876 4.876 4.876 90.00 90.00 90.00
Sites, in units of the cell vectors:
Os 0.000 0.750 0.500
Os 0.000 0.250 0.500
P 0.500 0.500 0.500
Os 0.500 0.000 0.250
Os 0.500 0.000 0.750
P 0.000 0.000 0.000
Os 0.750 0.500 0.000
Os 0.250 0.500 0.000

***

Here is a relaxed P2Os3 crystal from the Alexandria database. Energies are from PBE-GGA.

Computed properties:
- N(E_F): 2.9 states/eV/f.u.
- Energy relative to the elements: -0.037 eV/atom
- DFT total energy: -8.94 eV per atom
- Total magnetic moment: 0.00 μB per formula unit
- Volume: 71 Å³/f.u.

Lattice parameters (Å, degrees): 3.879 3.879 5.457 90.00 90.00 120.00
Sites, in units of the cell vectors:
Os 0.333 0.667 0.334
P 0.667 0.333 0.228
P 0.333 0.667 0.772
Os 0.000 0.000 0.000
Os 0.667 0.333 0.666

***

Here is a relaxed POs3 crystal from the Alexandria database. Energies are from PBE-GGA.

Computed properties:
- N(E_F): 2.9 states/eV/f.u.
- Energy relative to the elements: 0.508 eV/atom
- DFT total energy: -9.27 eV per atom
- Total magnetic moment: 0.00 μB per formula unit
- Volume: 56 Å³/f.u.
- Offset from the most stable computed form: 397 meV/atom

Lattice parameters (Å, degrees): 4.622 4.622 4.622 130.62 130.62 72.42
Sites, in units of the cell vectors:
P 0.000 0.000 0.000
Os 0.250 0.750 0.500
Os 0.500 0.500 0.000
Os 0.750 0.250 0.500

***

Here is a relaxed POs3 crystal from the Alexandria database. Energies are from PBE-GGA.

Computed properties:
- N(E_F): 6.5 states/eV/f.u.
- Energy relative to the elements: 0.694 eV/atom
- DFT total energy: -9.08 eV per atom
- Total magnetic moment: 0.00 μB per formula unit
- Volume: 56 Å³/f.u.
- Offset from the most stable computed form: 584 meV/atom

Lattice parameters (Å, degrees): 3.825 3.825 3.825 90.00 90.00 90.00
Sites, in units of the cell vectors:
Os 0.500 0.500 0.000
Os 0.500 0.000 0.500
P 0.000 0.000 0.000
Os 0.000 0.500 0.500

***

Here is a relaxed POs2 crystal from the Alexandria database. Energies are from PBE-GGA.

Computed properties:
- N(E_F): 4.5 states/eV/f.u.
- Energy relative to the elements: 0.557 eV/atom
- DFT total energy: -8.73 eV per atom
- Total magnetic moment: 0.31 μB per formula unit
- Volume: 45 Å³/f.u.

Lattice parameters (Å, degrees): 5.644 5.644 5.644 90.00 90.00 90.00
Last column: magnetic moment on the atom in μB.
Sites, in units of the cell vectors:
Os 0.870 0.130 0.370  0.15
Os 0.870 0.370 0.870  0.15
P 0.500 0.500 0.000  0.00
Os 0.370 0.130 0.130  0.15
Os 0.370 0.370 0.630  0.15
Os 0.630 0.870 0.870  0.15
P 0.000 0.500 0.500  0.00
P 0.000 0.000 0.000  0.00
P 0.500 0.000 0.500  0.00
Os 0.630 0.630 0.370  0.15
Os 0.130 0.870 0.630  0.15
Os 0.130 0.630 0.130  0.15

***

Question: What is the energy relative to the elements in the fifth record?
Answer: -0.037 eV/atom